Material: Cs3Nd3UO8
Method: DFT, PBE
State: relaxed

a b c (Å): 8.266 8.266 8.266
angles (deg): 52.44 52.44 52.44
Positions (direct):
1 Cs 0.000 0.500 0.500
2 Cs 0.500 0.000 0.500
3 Cs 0.500 0.500 0.000
4 Nd 0.000 0.000 0.500
5 Nd 0.000 0.500 0.000
6 Nd 0.500 0.000 0.000
7 U 0.500 0.500 0.500
8 O 0.220 0.220 0.220
9 O 0.244 0.704 0.704
10 O 0.296 0.296 0.756
11 O 0.296 0.756 0.296
12 O 0.704 0.244 0.704
13 O 0.704 0.704 0.244
14 O 0.756 0.296 0.296
15 O 0.780 0.780 0.780

Summary:
- M_tot: 1.8 Bohr magnetons per cell
- Formation energy from raw total energies: -2674 meV per atom
- Calculated volume: 21.9 A^3/atom